Here is a relaxed structure of ZnSb2Au from the Alexandria database. Energies are from GGA-PBE.

POSCAR file:
```
ZnSb2Au
1.0
-2.6140 2.6140 7.9160
2.6140 -2.6140 7.9160
2.6140 2.6140 -7.9160
Zn Sb Au
2 4 2
direct
0.0000 0.0000 0.0000 Zn
0.7500 0.2500 0.5000 Zn
0.1234 0.6250 0.9984 Sb
0.3750 0.3734 0.4984 Sb
0.6266 0.1250 0.0016 Sb
0.8750 0.8766 0.5016 Sb
0.2500 0.7500 0.5000 Au
0.5000 0.5000 0.0000 Au
```

Uncorrected energy: -3.11 eV/atom
Space group: I-42d (122)
E_form (uncorrected): 0.09 eV per atom

=====

Here is a relaxed structure of ZnSbAu from the Alexandria database. Energies are from GGA-PBE.

POSCAR file:
```
ZnSbAu
1.0
-1.5784 1.5784 6.2282
1.5784 -1.5784 6.2282
1.5784 1.5784 -6.2282
Zn Sb Au
1 1 1
direct
0.0000 0.0000 0.0000 Zn
0.6917 0.6917 0.0000 Sb
0.3771 0.3771 0.0000 Au
```

Uncorrected energy: -2.83 eV/atom
Space group: I4mm (107)
E_form (uncorrected): 0.06 eV per atom

=====

Here is a relaxed structure of Zn2Sb2Au from the Alexandria database. Energies are from GGA-PBE.

POSCAR file:
```
Zn2Sb2Au
1.0
7.8362 0.0000 0.0000
0.0000 7.8362 0.0000
0.0000 0.0000 3.7643
Zn Sb Au
4 4 2
direct
0.1139 0.3861 0.0000 Zn
0.3861 0.8861 0.0000 Zn
0.6139 0.1139 0.0000 Zn
0.8861 0.6139 0.0000 Zn
0.1984 0.6984 0.5000 Sb
0.3016 0.1984 0.5000 Sb
0.6984 0.8016 0.5000 Sb
0.8016 0.3016 0.5000 Sb
0.0000 0.0000 0.5000 Au
0.5000 0.5000 0.5000 Au
```

Uncorrected energy: -2.67 eV/atom
Space group: P4/mbm (127)
E_form (uncorrected): 0.15 eV per atom
E above lowest polymorph: 13 meV/atom

=====

Here is a relaxed structure of ZnSb2Au from the Alexandria database. Energies are from GGA-PBE.

POSCAR file:
```
ZnSb2Au
1.0
3.0508 0.0000 0.0000
0.0000 3.9286 0.0000
-0.8645 0.0000 8.0999
Zn Sb Au
1 2 1
direct
0.0000 0.0000 0.0000 Zn
0.0972 0.5000 0.7475 Sb
0.9028 0.5000 0.2525 Sb
0.0000 0.0000 0.5000 Au
```

Uncorrected energy: -3.14 eV/atom
Space group: P2/m (10)
E_form (uncorrected): 0.06 eV per atom

=====

Here is a relaxed structure of ZnSbAu from the Alexandria database. Energies are from GGA-PBE.

POSCAR file:
```
ZnSbAu
1.0
4.2810 0.0000 0.0000
-2.1405 3.7074 0.0000
0.0000 0.0000 4.0820
Zn Sb Au
1 1 1
direct
0.0000 0.0000 0.0000 Zn
0.3333 0.6667 0.5968 Sb
0.6667 0.3333 0.2376 Au
```

Uncorrected energy: -2.87 eV/atom
Space group: P3m1 (156)
E_form (uncorrected): 0.02 eV per atom

=====

Here is a relaxed structure of ZnSbAu4 from the Alexandria database. Energies are from GGA-PBE.

POSCAR file:
```
ZnSbAu4
1.0
0.0000 3.9364 3.9364
3.9364 0.0000 3.9364
3.9364 3.9364 0.0000
Zn Sb Au
1 1 4
direct
0.0000 0.0000 0.0000 Zn
0.2500 0.2500 0.2500 Sb
0.1239 0.6254 0.6254 Au
0.6254 0.1239 0.6254 Au
0.6254 0.6254 0.1239 Au
0.6254 0.6254 0.6254 Au
```

Uncorrected energy: -2.97 eV/atom
Space group: F-43m (216)
E_form (uncorrected): 0.12 eV per atom
E above lowest polymorph: 121 meV/atom

=====

Here is a relaxed structure of ZnSb2Au from the Alexandria database. Energies are from GGA-PBE.

POSCAR file:
```
ZnSb2Au
1.0
3.4859 -2.0217 0.0000
3.4859 2.0217 0.0000
-2.3666 0.0000 6.6608
Zn Sb Au
1 2 1
direct
0.0000 0.0000 0.0000 Zn
0.2496 0.2496 0.7438 Sb
0.7504 0.7504 0.2562 Sb
0.5000 0.5000 0.5000 Au
```

Uncorrected energy: -3.17 eV/atom
Space group: C2/m (12)
E_form (uncorrected): 0.03 eV per atom

=====

Here is a relaxed structure of Zn2SbAu from the Alexandria database. Energies are from GGA-PBE.

POSCAR file:
```
Zn2SbAu
1.0
-2.1256 2.1256 4.2711
2.1256 -2.1256 4.2711
2.1256 2.1256 -4.2711
Zn Sb Au
2 1 1
direct
0.0000 0.0000 0.0000 Zn
0.7500 0.2500 0.5000 Zn
0.5000 0.5000 0.0000 Sb
0.2500 0.7500 0.5000 Au
```

Uncorrected energy: -2.39 eV/atom
Space group: I-4m2 (119)
E_form (uncorrected): 0.09 eV per atom

=====

Here is a relaxed structure of ZrSbAu2 from the Alexandria database. Energies are from GGA-PBE.

POSCAR file:
```
ZrSbAu2
1.0
5.1596 -1.6353 0.0000
5.1596 1.6353 0.0000
-1.0031 0.0000 4.9446
Zr Sb Au
1 1 2
direct
0.0000 0.0000 0.0000 Zr
0.5000 0.5000 0.5000 Sb
0.2623 0.2623 0.7644 Au
0.7377 0.7377 0.2356 Au
```

Uncorrected energy: -5.08 eV/atom
Space group: C2/m (12)
E_form (uncorrected): -0.27 eV per atom

=====

Here is a relaxed structure of Zr2SbAu from the Alexandria database. Energies are from GGA-PBE.

POSCAR file:
```
Zr2SbAu
1.0
3.8298 0.0000 0.0000
0.0000 3.8298 0.0000
0.0000 0.0000 6.0141
Zr Sb Au
2 1 1
direct
0.0000 0.0000 0.0000 Zr
0.5000 0.5000 0.2904 Zr
0.5000 0.5000 0.7869 Sb
0.0000 0.0000 0.4978 Au
```

Uncorrected energy: -6.61 eV/atom
Space group: P4mm (99)
E_form (uncorrected): -0.49 eV per atom

=====

Here is a relaxed structure of Zr2SbAu2 from the Alexandria database. Energies are from GGA-PBE.

POSCAR file:
```
Zr2SbAu2
1.0
-2.3100 2.3100 5.6903
2.3100 -2.3100 5.6903
2.3100 2.3100 -5.6903
Zr Sb Au
2 1 2
direct
0.2500 0.7500 0.5000 Zr
0.7500 0.2500 0.5000 Zr
0.0000 0.0000 0.0000 Sb
0.3859 0.3859 0.0000 Au
0.6141 0.6141 0.0000 Au
```

Uncorrected energy: -5.67 eV/atom
Space group: I4/mmm (139)
E_form (uncorrected): -0.11 eV per atom
E above lowest polymorph: 289 meV/atom

=====

Here is a relaxed structure of ZrSbAu2 from the Alexandria database. Energies are from GGA-PBE.

POSCAR file:
```
ZrSbAu2
1.0
2.4684 -2.4823 0.0000
2.4684 2.4823 0.0000
0.0000 0.0000 6.8181
Zr Sb Au
1 1 2
direct
0.0000 0.0000 0.0000 Zr
0.5000 0.5000 0.2812 Sb
0.0000 0.0000 0.5430 Au
0.5000 0.5000 0.7696 Au
```

Uncorrected energy: -5.05 eV/atom
Space group: Cmm2 (35)
E_form (uncorrected): -0.25 eV per atom